4
Lattice="1.7541 1.0127 10.7156 -1.7541 1.0127 10.7156 0.0000 -2.0254 10.7156" Properties=species:S:1:pos:R:3 comment="Dy2ScTl, optimized geometry, DFT PBE" sg="R3m (160)" formation_enthalpy_0k_ev_per_atom=-0.09 total_magnetization_mub_per_atom=0.088 pbc="T T T"
Dy 0.0000 0.0000 0.0000
Dy 0.0000 0.0000 5.3590
Sc 0.0000 0.0000 13.3920
Tl 0.0000 0.0000 18.7532

=====

10
Lattice="3.5497 0.0000 0.0000 1.7709 8.0216 0.0000 0.0010 3.5628 10.0894" Properties=species:S:1:pos:R:3 comment="Dy3ScTl, optimized geometry, DFT PBE" sg="P-1 (2)" formation_enthalpy_0k_ev_per_atom=-0.14 total_magnetization_mub_per_atom=0.000 pbc="T T T"
Dy 0.8873 3.4187 1.6182
Dy 2.6603 8.1979 5.3197
Dy 2.6615 6.5019 0.8042
Dy 2.6600 5.0825 9.2852
Dy 2.6612 3.3865 4.7697
Dy 4.4342 8.1657 8.4713
Sc 0.8838 5.6164 6.5300
Sc 4.4377 5.9680 3.5594
Tl 0.8845 2.7599 7.5887
Tl 4.4370 8.8245 2.5008